# 1
# UPaIrRu | Alexandria via LeMat-Bulk | PBE-GGA | relaxed
data_UPaIrRu
_chemical_formula_sum 'U4 Pa4 Ir4 Ru4'
_space_group_name_H-M_alt 'F -4 3 m'
_space_group_IT_number 216
_space_group_name_Hall 'F -4 2 3'
_cell_length_a 6.6068
_cell_length_b 6.6068
_cell_length_c 6.6068
_cell_angle_alpha 90.00
_cell_angle_beta 90.00
_cell_angle_gamma 90.00
loop_
_atom_site_label
_atom_site_fract_x
_atom_site_fract_y
_atom_site_fract_z
U1 0.0000 0.0000 0.0000
Pa1 0.2500 0.2500 0.7500
Ir1 0.0000 0.0000 0.5000
Ru1 0.2500 0.2500 0.2500
# - M_tot (μB per atom) = 0.00
# - calculated formation energy (eV per atom) = -0.432

=====

# 2
# PaZnIrRu | Alexandria via LeMat-Bulk | PBE-GGA | relaxed
data_PaZnIrRu
_chemical_formula_sum 'Pa4 Zn4 Ir4 Ru4'
_space_group_name_H-M_alt 'F -4 3 m'
_space_group_IT_number 216
_space_group_name_Hall 'F -4 2 3'
_cell_length_a 6.5543
_cell_length_b 6.5543
_cell_length_c 6.5543
_cell_angle_alpha 90.00
_cell_angle_beta 90.00
_cell_angle_gamma 90.00
loop_
_atom_site_label
_atom_site_fract_x
_atom_site_fract_y
_atom_site_fract_z
Pa1 0.0000 0.0000 0.0000
Zn1 0.0000 0.0000 0.5000
Ir1 0.2500 0.2500 0.2500
Ru1 0.2500 0.2500 0.7500
# - M_tot (μB per atom) = 0.00
# - excess energy over the best structure of this formula in the dataset (meV per atom) = 164
# - calculated formation energy (eV per atom) = -0.446

=====

# 3
# PaZnIrRu | Alexandria via LeMat-Bulk | PBE-GGA | relaxed
data_PaZnIrRu
_chemical_formula_sum 'Pa1 Zn1 Ir1 Ru1'
_space_group_name_H-M_alt 'P m m m'
_space_group_IT_number 47
_space_group_name_Hall '-P 2 2'
_cell_length_a 3.7074
_cell_length_b 4.1760
_cell_length_c 4.3966
_cell_angle_alpha 90.00
_cell_angle_beta 90.00
_cell_angle_gamma 90.00
loop_
_atom_site_label
_atom_site_fract_x
_atom_site_fract_y
_atom_site_fract_z
Pa1 0.0000 0.0000 0.0000
Zn1 0.0000 0.5000 0.5000
Ir1 0.5000 0.0000 0.5000
Ru1 0.5000 0.5000 0.0000
# - M_tot (μB per atom) = 0.00
# - excess energy over the best structure of this formula in the dataset (meV per atom) = 0
# - calculated formation energy (eV per atom) = -0.611

=====

# 4
# ZrPaIrRu | Alexandria via LeMat-Bulk | PBE-GGA | relaxed
data_ZrPaIrRu
_chemical_formula_sum 'Zr4 Pa4 Ir4 Ru4'
_space_group_name_H-M_alt 'F -4 3 m'
_space_group_IT_number 216
_space_group_name_Hall 'F -4 2 3'
_cell_length_a 6.7508
_cell_length_b 6.7508
_cell_length_c 6.7508
_cell_angle_alpha 90.00
_cell_angle_beta 90.00
_cell_angle_gamma 90.00
loop_
_atom_site_label
_atom_site_fract_x
_atom_site_fract_y
_atom_site_fract_z
Zr1 0.0000 0.0000 0.0000
Pa1 0.0000 0.0000 0.5000
Ir1 0.2500 0.2500 0.2500
Ru1 0.2500 0.2500 0.7500
# - M_tot (μB per atom) = 0.00
# - calculated formation energy (eV per atom) = -0.526

=====

# 5
# Pa6IrS12 | Alexandria via LeMat-Bulk | PBE-GGA | relaxed
data_Pa6IrS12
_chemical_formula_sum 'Pa18 Ir3 S36'
_space_group_name_H-M_alt 'R -3'
_space_group_IT_number 148
_space_group_name_Hall '-R 3'
_cell_length_a 11.9281
_cell_length_b 11.9281
_cell_length_c 10.7336
_cell_angle_alpha 90.00
_cell_angle_beta 90.00
_cell_angle_gamma 120.00
loop_
_atom_site_label
_atom_site_fract_x
_atom_site_fract_y
_atom_site_fract_z
Pa1 0.0529 0.2734 0.1498
Ir1 0.0000 0.0000 0.5000
S1 0.0362 0.2139 0.8917
S2 0.0505 0.1976 0.3915
# - M_tot (μB per atom) = 0.46
# - uncorrected formation energy (meV/atom) = -1386

=====

# 6
# Pa2IrS6 | Alexandria via LeMat-Bulk | PBE-GGA | relaxed
data_Pa2IrS6
_chemical_formula_sum 'Pa4 Ir2 S12'
_space_group_name_H-M_alt 'P 1 21/c 1'
_space_group_IT_number 14
_space_group_name_Hall '-P 2ybc'
_cell_length_a 6.0367
_cell_length_b 7.0188
_cell_length_c 10.3336
_cell_angle_alpha 90.00
_cell_angle_beta 123.85
_cell_angle_gamma 90.00
loop_
_atom_site_label
_atom_site_fract_x
_atom_site_fract_y
_atom_site_fract_z
Pa1 0.1965 0.1274 0.2522
Ir1 0.0000 0.0000 0.5000
S1 0.0964 0.1876 0.9455
S2 0.2828 0.6758 0.9446
S3 0.3963 0.0354 0.7562
# - M_tot (μB per atom) = 0.12
# - uncorrected formation energy (meV/atom) = -1258

=====

# 7
# Pa2IrS | Alexandria via LeMat-Bulk | PBE-GGA | relaxed
data_Pa2IrS
_chemical_formula_sum 'Pa6 Ir3 S3'
_space_group_name_H-M_alt 'R -3 m'
_space_group_IT_number 166
_space_group_name_Hall '-R 3 2"'
_cell_length_a 3.2929
_cell_length_b 3.2929
_cell_length_c 27.5995
_cell_angle_alpha 90.00
_cell_angle_beta 90.00
_cell_angle_gamma 120.00
loop_
_atom_site_label
_atom_site_fract_x
_atom_site_fract_y
_atom_site_fract_z
Pa1 0.0000 0.0000 0.0932
Ir1 0.0000 0.0000 0.0000
S1 0.0000 0.0000 0.5000
# - M_tot (μB per atom) = 0.00
# - uncorrected formation energy (meV/atom) = -366

=====

# 8
# Pa4SiIrS2 | Alexandria via LeMat-Bulk | PBE-GGA | relaxed
data_Pa4SiIrS2
_chemical_formula_sum 'Pa4 Si1 Ir1 S2'
_space_group_name_H-M_alt 'P 1 2/m 1'
_space_group_IT_number 10
_space_group_name_Hall '-P 2y'
_cell_length_a 6.8939
_cell_length_b 3.8843
_cell_length_c 7.0623
_cell_angle_alpha 90.00
_cell_angle_beta 108.40
_cell_angle_gamma 90.00
loop_
_atom_site_label
_atom_site_fract_x
_atom_site_fract_y
_atom_site_fract_z
Pa1 0.2448 0.0000 0.2442
Pa2 0.2523 0.5000 0.7564
Si1 0.5000 0.5000 0.5000
Ir1 0.5000 0.0000 0.0000
S1 0.0000 0.0000 0.5000
S2 0.0000 0.5000 0.0000
# - M_tot (μB per atom) = 0.00
# - uncorrected formation energy (meV/atom) = -1045

=====

# 9
# TbPaIrS | Alexandria via LeMat-Bulk | PBE-GGA | relaxed
data_TbPaIrS
_chemical_formula_sum 'Tb3 Pa3 Ir3 S3'
_space_group_name_H-M_alt 'R 3 m'
_space_group_IT_number 160
_space_group_name_Hall 'R 3 -2"'
_cell_length_a 3.8973
_cell_length_b 3.8973
_cell_length_c 21.4291
_cell_angle_alpha 90.00
_cell_angle_beta 90.00
_cell_angle_gamma 120.00
loop_
_atom_site_label
_atom_site_fract_x
_atom_site_fract_y
_atom_site_fract_z
Tb1 0.0000 0.0000 0.0000
Pa1 0.0000 0.0000 0.1780
Ir1 0.0000 0.0000 0.5820
S1 0.0000 0.0000 0.7560
# - M_tot (μB per atom) = 0.00
# - uncorrected formation energy (meV/atom) = -1173

=====

# 10
# ThPaIrS | Alexandria via LeMat-Bulk | PBE-GGA | relaxed
data_ThPaIrS
_chemical_formula_sum 'Th3 Pa3 Ir3 S3'
_space_group_name_H-M_alt 'R 3 m'
_space_group_IT_number 160
_space_group_name_Hall 'R 3 -2"'
_cell_length_a 3.9421
_cell_length_b 3.9421
_cell_length_c 21.7803
_cell_angle_alpha 90.00
_cell_angle_beta 90.00
_cell_angle_gamma 120.00
loop_
_atom_site_label
_atom_site_fract_x
_atom_site_fract_y
_atom_site_fract_z
Th1 0.0000 0.0000 0.0000
Pa1 0.0000 0.0000 0.8212
Ir1 0.0000 0.0000 0.4169
S1 0.0000 0.0000 0.2406
# - M_tot (μB per atom) = 0.00
# - uncorrected formation energy (meV/atom) = -1139

=====

# 11
# TmPaIrS | Alexandria via LeMat-Bulk | PBE-GGA | relaxed
data_TmPaIrS
_chemical_formula_sum 'Tm3 Pa3 Ir3 S3'
_space_group_name_H-M_alt 'R 3 m'
_space_group_IT_number 160
_space_group_name_Hall 'R 3 -2"'
_cell_length_a 3.8693
_cell_length_b 3.8693
_cell_length_c 21.2285
_cell_angle_alpha 90.00
_cell_angle_beta 90.00
_cell_angle_gamma 120.00
loop_
_atom_site_label
_atom_site_fract_x
_atom_site_fract_y
_atom_site_fract_z
Tm1 0.0000 0.0000 0.0000
Pa1 0.0000 0.0000 0.1782
Ir1 0.0000 0.0000 0.5839
S1 0.0000 0.0000 0.7544
# - M_tot (μB per atom) = 0.00
# - uncorrected formation energy (meV/atom) = -1168

=====

# 12
# Pa2SbIr | Alexandria via LeMat-Bulk | PBE-GGA | relaxed
data_Pa2SbIr
_chemical_formula_sum 'Pa6 Sb3 Ir3'
_space_group_name_H-M_alt 'R -3 m'
_space_group_IT_number 166
_space_group_name_Hall '-R 3 2"'
_cell_length_a 4.0440
_cell_length_b 4.0440
_cell_length_c 22.1461
_cell_angle_alpha 90.00
_cell_angle_beta 90.00
_cell_angle_gamma 120.00
loop_
_atom_site_label
_atom_site_fract_x
_atom_site_fract_y
_atom_site_fract_z
Pa1 0.0000 0.0000 0.2374
Sb1 0.0000 0.0000 0.0000
Ir1 0.0000 0.0000 0.5000
# - M_tot (μB per atom) = 0.00
# - uncorrected formation energy (meV/atom) = -655

=====

# 13
# Pa2SbIr | Alexandria via LeMat-Bulk | PBE-GGA | relaxed
data_Pa2SbIr
_chemical_formula_sum 'Pa4 Sb2 Ir2'
_space_group_name_H-M_alt 'P 1 21/m 1'
_space_group_IT_number 11
_space_group_name_Hall '-P 2yb'
_cell_length_a 6.1997
_cell_length_b 4.0395
_cell_length_c 8.2494
_cell_angle_alpha 90.00
_cell_angle_beta 108.22
_cell_angle_gamma 90.00
loop_
_atom_site_label
_atom_site_fract_x
_atom_site_fract_y
_atom_site_fract_z
Pa1 0.1614 0.2500 0.3977
Pa2 0.2604 0.7500 0.0574
Sb1 0.3871 0.7500 0.6983
Ir1 0.1166 0.2500 0.8046
# - M_tot (μB per atom) = 0.00
# - uncorrected formation energy (meV/atom) = -656